1.
DFT (PBE-GGA) results for Er5ThC4 after structural relaxation.

a = 3.6174 Å, b = 7.3367 Å, c = 8.1167 Å
α = 102.62°, β = 102.88°, γ = 90.00°
Fractional coordinates of all 10 atoms:
C 0.0039 0.2628 0.0078
C 0.3295 0.9109 0.6589
C 0.9961 0.7372 0.9922
C 0.6705 0.0891 0.3411
Th 0.5000 0.0000 0.0000
Er 0.1608 0.3092 0.3216
Er 0.8392 0.6908 0.6784
Er 0.5000 0.5000 0.0000
Er 0.1686 0.8568 0.3371
Er 0.8314 0.1432 0.6629

Computed properties:
raw total energy	-69.80	eV per cell
volume	204.7	Å³/cell
space group	No. 12
ΔH_f (0 K)	-267.5	meV/atom
crystal system	monoclinic



2.
DFT (PBE-GGA) results for CeTiSe3 after structural relaxation.

a = 4.9072 Å, b = 6.8519 Å, c = 8.0310 Å
α = 115.25°, β = 90.00°, γ = 90.00°
Fractional coordinates of all 10 atoms:
Ti 0.5000 0.8903 0.7806
Ti 0.5000 0.1097 0.2194
Se 0.5000 0.0000 0.5000
Se 0.0000 0.8690 0.7379
Se 0.5000 0.7184 0.0000
Se 0.5000 0.5000 0.5000
Se 0.0000 0.1310 0.2621
Se 0.5000 0.2816 0.0000
Ce 0.0000 0.3346 0.6692
Ce 0.0000 0.6654 0.3308

Computed properties:
raw total energy	-60.99	eV per cell
volume	244.2	Å³/cell
distance to the lowest polymorph of the same formula	0.220	eV per atom
space group	No. 65
E_form (uncorrected)	-599.6	kJ/mol of formula units
crystal system	orthorhombic



3.
DFT (PBE-GGA) results for Na2CeSc2S6 after structural relaxation.

a = 6.6799 Å, b = 6.6799 Å, c = 7.0747 Å
α = 98.97°, β = 98.97°, γ = 120.42°
Fractional coordinates of all 11 atoms:
S 0.2730 0.2730 0.2854
S 0.4157 0.0672 0.7139
S 0.0672 0.4157 0.7139
S 0.7270 0.7270 0.7146
S 0.5843 0.9328 0.2861
S 0.9328 0.5843 0.2861
Na 0.1657 0.8343 0.0000
Na 0.8343 0.1657 0.0000
Sc 0.6667 0.3333 0.5000
Sc 0.3333 0.6667 0.5000
Ce 0.0000 0.0000 0.5000

Computed properties:
raw total energy	-65.01	eV per cell
volume	258.5	Å³/cell
space group	No. 12
E_form (uncorrected)	-1834.0	kJ/mol of formula units
crystal system	monoclinic



4.
DFT (PBE-GGA) results for SrCeY2 after structural relaxation.

a = 3.6811 Å, b = 3.6811 Å, c = 10.4827 Å
α = 90.00°, β = 90.00°, γ = 90.00°
Fractional coordinates of all 4 atoms:
Y 0.0000 0.0000 0.7865
Y 0.0000 0.0000 0.2135
Sr 0.5000 0.5000 0.5000
Ce 0.5000 0.5000 0.0000

Computed properties:
raw total energy	-19.95	eV per cell
volume	142.0	Å³/cell
distance to the lowest polymorph of the same formula	0.000	eV per atom
space group	No. 123
ΔH_f (0 K)	147.7	meV/atom
crystal system	tetragonal



5.
DFT (PBE-GGA) results for Y4TmCd3 after structural relaxation.

a = 5.3498 Å, b = 5.3498 Å, c = 9.4536 Å
α = 73.56°, β = 73.56°, γ = 60.00°
Fractional coordinates of all 8 atoms:
Y 0.3843 0.3843 0.8472
Y 0.8702 0.8702 0.3894
Y 0.6157 0.6157 0.1528
Y 0.1298 0.1298 0.6106
Tm 0.0000 0.0000 0.0000
Cd 0.7403 0.7403 0.7791
Cd 0.2597 0.2597 0.2209
Cd 0.5000 0.5000 0.5000

Computed properties:
raw total energy	-34.67	eV per cell
volume	221.5	Å³/cell
space group	No. 166
ΔH_f (0 K)	-199.3	meV/atom
crystal system	trigonal



6.
DFT (PBE-GGA) results for K2AcLaSe4 after structural relaxation.

a = 4.5165 Å, b = 7.8250 Å, c = 8.1237 Å
α = 108.70°, β = 90.00°, γ = 90.00°
Fractional coordinates of all 8 atoms:
Se 0.5000 0.2456 0.2166
Se 0.5000 0.7544 0.7834
Se 0.0000 0.2690 0.7875
Se 0.0000 0.7310 0.2125
Ac 0.0000 0.0000 0.0000
La 0.5000 0.5000 0.0000
K 0.5000 0.0000 0.5000
K 0.0000 0.5000 0.5000

Computed properties:
raw total energy	-39.74	eV per cell
volume	272.0	Å³/cell
space group	No. 10
E_form (uncorrected)	-1405.8	kJ/mol of formula units
crystal system	monoclinic